Entry 1:
A relaxed structure of Cs3Pm2MnO6, computed with GGA+U.

Calculated values
- Symmetry: C2/m (12)
- Mass density: 6.08 g/cm³
- Fermi-level density of states: 0.00 states/eV per cell
- VASP energy: -6.196 eV per atom
- Total magnetization: 0.327 μB/atom

a = 6.115 Å, b = 6.115 Å, c = 7.294 Å
α = 100.12°, β = 100.12°, γ = 116.75°
Atoms (fractional coordinates):
O 0.061 0.349 0.145
Mn 0.000 0.000 0.000
Cs 0.834 0.166 0.500
Pm 0.664 0.336 0.000
O 0.349 0.061 0.145
Pm 0.336 0.664 0.000
O 0.296 0.296 0.800
O 0.651 0.939 0.855
Cs 0.166 0.834 0.500
O 0.939 0.651 0.855
Cs 0.500 0.500 0.500
O 0.704 0.704 0.200

=====

Entry 2:
A relaxed structure of CsPrMnO3, computed with GGA+U.

Calculated values
- Symmetry: P2_1/m (11)
- Mass density: 4.55 g/cm³
- Fermi-level density of states: 0.07 states/eV per cell
- VASP energy: -6.654 eV per atom
- Total magnetization: 0.500 μB/atom

a = 3.820 Å, b = 8.280 Å, c = 9.378 Å
α = 112.07°, β = 90.00°, γ = 90.00°
Atoms (fractional coordinates):
Mn 0.750 0.963 0.375
Mn 0.250 0.037 0.625
O 0.750 0.469 0.118
Cs 0.250 0.202 0.190
O 0.250 0.942 0.396
O 0.750 0.862 0.156
Cs 0.750 0.798 0.810
Pr 0.250 0.666 0.147
O 0.250 0.531 0.882
O 0.750 0.058 0.604
O 0.250 0.138 0.844
Pr 0.750 0.334 0.853